First-principles (PBE) data for a relaxed PPt8 crystal, as listed in Alexandria.

- VASP energy: -5.971 eV/atom
- Spin magnetization: 0.0 μB per cell
- Density: 18.99 g/cm³
- Energy relative to the elements: 0.000 eV per atom
- Density of states at the Fermi level: 9.9 states/eV/f.u.

a = 8.4263 Å, b = 8.4263 Å, c = 3.9204 Å
α = 90.00°, β = 90.00°, γ = 90.00°
Space group I4/mmm (No. 139)
Unique sites:
P (0.0000, 0.0000, 0.0000) [2 per cell]
Pt (0.0000, 0.3304, 0.0000) [8 per cell]
Pt (0.1636, 0.1636, 0.5000) [8 per cell]

***

First-principles (PBE) data for a relaxed P3Pt crystal, as listed in Alexandria.

- VASP energy: -5.123 eV/atom
- Spin magnetization: 0.0 μB per cell
- Density: 8.09 g/cm³
- ΔE to the lowest computed polymorph: 0.665 eV per atom
- Energy relative to the elements: 0.444 eV per atom
- Density of states at the Fermi level: 2.1 states/eV/f.u.

a = 4.6890 Å, b = 4.6890 Å, c = 5.3793 Å
α = 90.00°, β = 90.00°, γ = 90.00°
Space group I4/mmm (No. 139)
Unique sites:
P (0.0000, 0.0000, 0.0000) [2 per cell]
P (0.0000, 0.5000, 0.2500) [4 per cell]
Pt (0.0000, 0.0000, 0.5000) [2 per cell]

***

First-principles (PBE) data for a relaxed P3Pt crystal, as listed in Alexandria.

- VASP energy: -5.133 eV/atom
- Spin magnetization: 0.0 μB per cell
- Density: 8.16 g/cm³
- ΔE to the lowest computed polymorph: 0.655 eV per atom
- Energy relative to the elements: 0.435 eV per atom
- Density of states at the Fermi level: 1.8 states/eV/f.u.

a = 3.0009 Å, b = 3.0009 Å, c = 6.5045 Å
α = 90.00°, β = 90.00°, γ = 90.00°
Space group P4/mmm (No. 123)
Unique sites:
P (0.0000, 0.0000, 0.0000) [1 per cell]
P (0.5000, 0.5000, 0.2467) [2 per cell]
Pt (0.0000, 0.0000, 0.5000) [1 per cell]

***

First-principles (PBE) data for a relaxed P3Pt crystal, as listed in Alexandria.

- VASP energy: -5.729 eV/atom
- Spin magnetization: 0.0 μB per cell
- Density: 7.81 g/cm³
- ΔE to the lowest computed polymorph: 0.058 eV per atom
- Energy relative to the elements: -0.162 eV per atom
- Density of states at the Fermi level: 1.1 states/eV/f.u.

a = 4.3195 Å, b = 3.4208 Å, c = 4.3902 Å
α = 90.00°, β = 109.33°, γ = 90.00°
Space group P2/m (No. 10)
Unique sites:
P (0.0000, 0.0000, 0.0000) [1 per cell]
P (0.2829, 0.5000, 0.7784) [2 per cell]
Pt (0.5000, 0.0000, 0.5000) [1 per cell]

***

First-principles (PBE) data for a relaxed P3Pt5 crystal, as listed in Alexandria.

- VASP energy: -5.889 eV/atom
- Spin magnetization: 0.0 μB per cell
- Density: 13.24 g/cm³
- ΔE to the lowest computed polymorph: 0.174 eV per atom
- Energy relative to the elements: -0.085 eV per atom
- Density of states at the Fermi level: 3.0 states/eV/f.u.

a = 6.6523 Å, b = 6.6523 Å, c = 6.9919 Å
α = 90.00°, β = 90.00°, γ = 120.00°
Space group P6_3/mcm (No. 193)
Unique sites:
P (0.0000, 0.3929, 0.2500) [6 per cell]
Pt (0.0000, 0.2682, 0.7500) [6 per cell]
Pt (0.3333, 0.6667, 0.0000) [4 per cell]

***

First-principles (PBE) data for a relaxed P3Pt crystal, as listed in Alexandria.

- VASP energy: -5.303 eV/atom
- Spin magnetization: 0.0 μB per cell
- Density: 6.81 g/cm³
- ΔE to the lowest computed polymorph: 0.484 eV per atom
- Energy relative to the elements: 0.264 eV per atom
- Density of states at the Fermi level: 1.3 states/eV/f.u.

a = 3.7899 Å, b = 3.7899 Å, c = 4.8888 Å
α = 90.00°, β = 90.00°, γ = 90.00°
Space group P-4m2 (No. 115)
Unique sites:
P (0.0000, 0.0000, 0.0000) [1 per cell]
P (0.0000, 0.5000, 0.3175) [2 per cell]
Pt (0.5000, 0.5000, 0.0000) [1 per cell]

***

First-principles (PBE) data for a relaxed P4Pt crystal, as listed in Alexandria.

- VASP energy: -5.226 eV/atom
- Spin magnetization: 0.0 μB per cell
- Density: 6.81 g/cm³
- ΔE to the lowest computed polymorph: 0.583 eV per atom
- Energy relative to the elements: 0.310 eV per atom
- Density of states at the Fermi level: 1.2 states/eV/f.u.

a = 4.6070 Å, b = 4.6070 Å, c = 7.3343 Å
α = 90.00°, β = 90.00°, γ = 90.00°
Space group I4/mmm (No. 139)
Unique sites:
P (0.0000, 0.0000, 0.1693) [4 per cell]
P (0.0000, 0.5000, 0.2500) [4 per cell]
Pt (0.0000, 0.0000, 0.5000) [2 per cell]

***

First-principles (PBE) data for a relaxed P4Pt crystal, as listed in Alexandria.

- VASP energy: -4.862 eV/atom
- Spin magnetization: 0.0 μB per cell
- Density: 5.68 g/cm³
- ΔE to the lowest computed polymorph: 0.947 eV per atom
- Energy relative to the elements: 0.674 eV per atom
- Density of states at the Fermi level: 4.2 states/eV/f.u.

a = 5.7119 Å, b = 5.7119 Å, c = 5.7119 Å
α = 90.00°, β = 90.00°, γ = 90.00°
Space group Im-3m (No. 229)
Unique sites:
P (0.2500, 0.2500, 0.2500) [8 per cell]
Pt (0.0000, 0.0000, 0.0000) [2 per cell]

***

First-principles (PBE) data for a relaxed P3Pt crystal, as listed in Alexandria.

- VASP energy: -5.022 eV/atom
- Spin magnetization: 0.0 μB per cell
- Density: 7.82 g/cm³
- ΔE to the lowest computed polymorph: 0.766 eV per atom
- Energy relative to the elements: 0.546 eV per atom
- Density of states at the Fermi level: 1.8 states/eV/f.u.

a = 5.6235 Å, b = 5.6235 Å, c = 8.9287 Å
α = 90.00°, β = 90.00°, γ = 120.00°
Space group P6_3/mmc (No. 194)
Unique sites:
P (0.0000, 0.5000, 0.0000) [6 per cell]
P (0.1452, 0.2903, 0.2500) [6 per cell]
Pt (0.0000, 0.0000, 0.0000) [2 per cell]
Pt (0.3333, 0.6667, 0.7500) [2 per cell]

***

First-principles (PBE) data for a relaxed P3Pt crystal, as listed in Alexandria.

- VASP energy: -5.713 eV/atom
- Spin magnetization: 0.0 μB per cell
- Density: 6.49 g/cm³
- ΔE to the lowest computed polymorph: 0.075 eV per atom
- Energy relative to the elements: -0.145 eV per atom
- Density of states at the Fermi level: 0.8 states/eV/f.u.

a = 5.6073 Å, b = 9.3185 Å, c = 5.6433 Å
α = 90.00°, β = 90.00°, γ = 90.00°
Space group Pnma (No. 62)
Unique sites:
P (0.0127, 0.1146, 0.1199) [8 per cell]
P (0.2472, 0.2500, 0.8893) [4 per cell]
Pt (0.1498, 0.2500, 0.4862) [4 per cell]

***

First-principles (PBE) data for a relaxed P4Pt crystal, as listed in Alexandria.

- VASP energy: -5.808 eV/atom
- Spin magnetization: 0.0 μB per cell
- Density: 6.38 g/cm³
- ΔE to the lowest computed polymorph: 0.000 eV per atom
- Energy relative to the elements: -0.272 eV per atom
- Density of states at the Fermi level: 1.5 states/eV/f.u.

a = 5.0383 Å, b = 4.9596 Å, c = 6.7905 Å
α = 90.00°, β = 101.82°, γ = 90.00°
Space group P2_1/c (No. 14)
Unique sites:
P (0.1263, 0.1508, 0.4272) [4 per cell]
P (0.2637, 0.6837, 0.7486) [4 per cell]
Pt (0.5000, 0.0000, 0.0000) [2 per cell]

***

First-principles (PBE) data for a relaxed P2Pt5 crystal, as listed in Alexandria.

- VASP energy: -6.262 eV/atom
- Spin magnetization: 0.0 μB per cell
- Density: 15.60 g/cm³
- ΔE to the lowest computed polymorph: 0.000 eV per atom
- Energy relative to the elements: -0.401 eV per atom
- Density of states at the Fermi level: 2.9 states/eV/f.u.

a = 10.9348 Å, b = 5.4466 Å, c = 7.5183 Å
α = 90.00°, β = 99.43°, γ = 90.00°
Space group C2/c (No. 15)
Unique sites:
P (0.1587, 0.0942, 0.2752) [8 per cell]
Pt (0.0000, 0.3897, 0.2500) [4 per cell]
Pt (0.1186, 0.2257, 0.9674) [8 per cell]
Pt (0.1448, 0.2745, 0.5945) [8 per cell]

***

First-principles (PBE) data for a relaxed P5Pt3 crystal, as listed in Alexandria.

- VASP energy: -5.393 eV/atom
- Spin magnetization: 0.0 μB per cell
- Density: 10.12 g/cm³
- ΔE to the lowest computed polymorph: 0.100 eV per atom
- Energy relative to the elements: 0.254 eV per atom
- Density of states at the Fermi level: 1.9 states/eV/f.u.

a = 6.9008 Å, b = 7.8998 Å, c = 4.4546 Å
α = 90.00°, β = 90.00°, γ = 90.00°
Space group Cmmm (No. 65)
Unique sites:
P (0.0000, 0.0000, 0.0000) [2 per cell]
P (0.1877, 0.5000, 0.5000) [4 per cell]
P (0.2500, 0.2500, 0.0000) [4 per cell]
Pt (0.0000, 0.1820, 0.5000) [4 per cell]
Pt (0.0000, 0.5000, 0.0000) [2 per cell]